No. 1
Ta2MnRe: relaxed, PBE.

Values from the calculation:
- ΔE_f: -0.0603 eV/atom
- Calculated total energy: -45.56 eV/cell

```
data_Ta2MnRe
_cell_length_a 2.7775
_cell_length_b 4.3384
_cell_length_c 5.2737
_cell_angle_alpha 90.00
_cell_angle_beta 99.08
_cell_angle_gamma 90.00
_space_group_name_H-M_alt 'P 1'
_space_group_IT_number 1
_space_group_name_Hall 'P 1'
loop_
_atom_site_label
_atom_site_type_symbol
_atom_site_fract_x
_atom_site_fract_y
_atom_site_fract_z
_atom_site_occupancy
Ta1 Ta 0.2474 0.0000 0.2530 1
Ta2 Ta 0.7526 0.0000 0.7470 1
Mn1 Mn 0.0000 0.5000 0.5000 1
Re1 Re 0.5000 0.5000 0.0000 1
```

---

No. 2
Ta2MnRe: relaxed, PBE.

Values from the calculation:
- ΔE_f: 0.0693 eV/atom
- Calculated total energy: -90.09 eV/cell

```
data_Ta2MnRe
_cell_length_a 3.7675
_cell_length_b 3.7675
_cell_length_c 9.0342
_cell_angle_alpha 90.00
_cell_angle_beta 90.00
_cell_angle_gamma 90.00
_space_group_name_H-M_alt 'P 1'
_space_group_IT_number 1
_space_group_name_Hall 'P 1'
loop_
_atom_site_label
_atom_site_type_symbol
_atom_site_fract_x
_atom_site_fract_y
_atom_site_fract_z
_atom_site_occupancy
Ta1 Ta 0.0000 0.0000 0.0000 1
Ta2 Ta 0.0000 0.5000 0.2500 1
Ta3 Ta 0.5000 0.0000 0.7500 1
Ta4 Ta 0.5000 0.5000 0.5000 1
Mn1 Mn 0.0000 0.5000 0.7500 1
Mn2 Mn 0.5000 0.0000 0.2500 1
Re1 Re 0.0000 0.0000 0.5000 1
Re2 Re 0.5000 0.5000 0.0000 1
```

---

No. 3
Ta2MnRe: relaxed, PBE.

Values from the calculation:
- ΔE_f: -0.0601 eV/atom
- Calculated total energy: -45.56 eV/cell

```
data_Ta2MnRe
_cell_length_a 3.1597
_cell_length_b 3.1597
_cell_length_c 6.2893
_cell_angle_alpha 90.00
_cell_angle_beta 90.00
_cell_angle_gamma 90.00
_space_group_name_H-M_alt 'P 1'
_space_group_IT_number 1
_space_group_name_Hall 'P 1'
loop_
_atom_site_label
_atom_site_type_symbol
_atom_site_fract_x
_atom_site_fract_y
_atom_site_fract_z
_atom_site_occupancy
Ta1 Ta 0.0000 0.0000 0.0000 1
Ta2 Ta 0.5000 0.5000 0.2807 1
Mn1 Mn 0.0000 0.0000 0.5160 1
Re1 Re 0.5000 0.5000 0.7521 1
```

---

No. 4
Ta2MnRe: relaxed, PBE.

Values from the calculation:
- ΔE_f: -0.0580 eV/atom
- Calculated total energy: -91.11 eV/cell

```
data_Ta2MnRe
_cell_length_a 5.5386
_cell_length_b 8.6966
_cell_length_c 2.7783
_cell_angle_alpha 90.00
_cell_angle_beta 110.21
_cell_angle_gamma 90.00
_space_group_name_H-M_alt 'P 1'
_space_group_IT_number 1
_space_group_name_Hall 'P 1'
loop_
_atom_site_label
_atom_site_type_symbol
_atom_site_fract_x
_atom_site_fract_y
_atom_site_fract_z
_atom_site_occupancy
Ta1 Ta 0.2500 0.2500 0.0000 1
Ta2 Ta 0.2500 0.7500 0.0000 1
Ta3 Ta 0.7500 0.2500 0.0000 1
Ta4 Ta 0.7500 0.7500 0.0000 1
Mn1 Mn 0.0000 0.0000 0.5000 1
Mn2 Mn 0.5000 0.5000 0.5000 1
Re1 Re 0.0000 0.5000 0.5000 1
Re2 Re 0.5000 0.0000 0.5000 1
```

---

No. 5
Ta4MnRe: relaxed, PBE.

Values from the calculation:
- ΔE_f: -0.2386 eV/atom
- Calculated total energy: -70.46 eV/cell

```
data_Ta4MnRe
_cell_length_a 3.1721
_cell_length_b 3.1721
_cell_length_c 9.7941
_cell_angle_alpha 90.00
_cell_angle_beta 90.00
_cell_angle_gamma 90.00
_space_group_name_H-M_alt 'P 1'
_space_group_IT_number 1
_space_group_name_Hall 'P 1'
loop_
_atom_site_label
_atom_site_type_symbol
_atom_site_fract_x
_atom_site_fract_y
_atom_site_fract_z
_atom_site_occupancy
Ta1 Ta 0.0000 0.0000 0.1532 1
Ta2 Ta 0.0000 0.0000 0.8468 1
Ta3 Ta 0.5000 0.5000 0.3365 1
Ta4 Ta 0.5000 0.5000 0.6635 1
Mn1 Mn 0.5000 0.5000 0.0000 1
Re1 Re 0.0000 0.0000 0.5000 1
```

---

No. 6
Ta3MnRe2: relaxed, PBE.

Values from the calculation:
- ΔE_f: -0.3448 eV/atom
- Calculated total energy: -71.69 eV/cell

```
data_Ta3MnRe2
_cell_length_a 3.1647
_cell_length_b 3.1647
_cell_length_c 9.4787
_cell_angle_alpha 90.00
_cell_angle_beta 90.00
_cell_angle_gamma 90.00
_space_group_name_H-M_alt 'P 1'
_space_group_IT_number 1
_space_group_name_Hall 'P 1'
loop_
_atom_site_label
_atom_site_type_symbol
_atom_site_fract_x
_atom_site_fract_y
_atom_site_fract_z
_atom_site_occupancy
Ta1 Ta 0.0000 0.0000 0.0000 1
Ta2 Ta 0.0000 0.0000 0.3401 1
Ta3 Ta 0.0000 0.0000 0.6599 1
Mn1 Mn 0.5000 0.5000 0.5000 1
Re1 Re 0.5000 0.5000 0.1707 1
Re2 Re 0.5000 0.5000 0.8293 1
```

---

No. 7
TaMn4Re: relaxed, PBE.

Values from the calculation:
- ΔE_f: -0.1433 eV/atom
- Calculated total energy: -61.84 eV/cell

```
data_TaMn4Re
_cell_length_a 4.7410
_cell_length_b 4.7410
_cell_length_c 4.7410
_cell_angle_alpha 60.00
_cell_angle_beta 60.00
_cell_angle_gamma 60.00
_space_group_name_H-M_alt 'P 1'
_space_group_IT_number 1
_space_group_name_Hall 'P 1'
loop_
_atom_site_label
_atom_site_type_symbol
_atom_site_fract_x
_atom_site_fract_y
_atom_site_fract_z
_atom_site_occupancy
Ta1 Ta 0.0000 0.0000 0.0000 1
Mn1 Mn 0.3734 0.3734 0.3734 1
Mn2 Mn 0.3734 0.3734 0.8797 1
Mn3 Mn 0.3734 0.8797 0.3734 1
Mn4 Mn 0.8797 0.3734 0.3734 1
Re1 Re 0.7500 0.7500 0.7500 1
```

---

No. 8
Ta2MnRe: relaxed, PBE.

Values from the calculation:
- ΔE_f: 0.0072 eV/atom
- Calculated total energy: -90.59 eV/cell

```
data_Ta2MnRe
_cell_length_a 3.2309
_cell_length_b 4.5044
_cell_length_c 8.6587
_cell_angle_alpha 90.00
_cell_angle_beta 90.00
_cell_angle_gamma 90.00
_space_group_name_H-M_alt 'P 1'
_space_group_IT_number 1
_space_group_name_Hall 'P 1'
loop_
_atom_site_label
_atom_site_type_symbol
_atom_site_fract_x
_atom_site_fract_y
_atom_site_fract_z
_atom_site_occupancy
Ta1 Ta 0.0000 0.0000 0.0000 1
Ta2 Ta 0.0000 0.5000 0.2781 1
Ta3 Ta 0.5000 0.0000 0.2781 1
Ta4 Ta 0.5000 0.5000 0.0000 1
Mn1 Mn 0.0000 0.0000 0.5187 1
Mn2 Mn 0.5000 0.5000 0.5187 1
Re1 Re 0.0000 0.5000 0.7401 1
Re2 Re 0.5000 0.0000 0.7401 1
```

---

No. 9
Ta2Mn2Re: relaxed, PBE.

Values from the calculation:
- ΔE_f: 0.0481 eV/atom
- Calculated total energy: -108.50 eV/cell

```
data_Ta2Mn2Re
_cell_length_a 6.1294
_cell_length_b 6.1294
_cell_length_c 4.0227
_cell_angle_alpha 90.00
_cell_angle_beta 90.00
_cell_angle_gamma 90.00
_space_group_name_H-M_alt 'P 1'
_space_group_IT_number 1
_space_group_name_Hall 'P 1'
loop_
_atom_site_label
_atom_site_type_symbol
_atom_site_fract_x
_atom_site_fract_y
_atom_site_fract_z
_atom_site_occupancy
Ta1 Ta 0.1817 0.3183 0.0000 1
Ta2 Ta 0.3183 0.8183 0.0000 1
Ta3 Ta 0.6817 0.1817 0.0000 1
Ta4 Ta 0.8183 0.6817 0.0000 1
Mn1 Mn 0.1195 0.6195 0.5000 1
Mn2 Mn 0.3805 0.1195 0.5000 1
Mn3 Mn 0.6195 0.8805 0.5000 1
Mn4 Mn 0.8805 0.3805 0.5000 1
Re1 Re 0.0000 0.0000 0.5000 1
Re2 Re 0.5000 0.5000 0.5000 1
```

---

No. 10
Ta2MnRe: relaxed, PBE.

Values from the calculation:
- ΔE_f: -0.0433 eV/atom
- Calculated total energy: -45.50 eV/cell

```
data_Ta2MnRe
_cell_length_a 3.1989
_cell_length_b 4.3109
_cell_length_c 4.5584
_cell_angle_alpha 90.00
_cell_angle_beta 90.00
_cell_angle_gamma 90.00
_space_group_name_H-M_alt 'P 1'
_space_group_IT_number 1
_space_group_name_Hall 'P 1'
loop_
_atom_site_label
_atom_site_type_symbol
_atom_site_fract_x
_atom_site_fract_y
_atom_site_fract_z
_atom_site_occupancy
Ta1 Ta 0.0000 0.0000 0.0000 1
Ta2 Ta 0.5000 0.0000 0.5000 1
Mn1 Mn 0.0000 0.5000 0.5000 1
Re1 Re 0.5000 0.5000 0.0000 1
```

---

No. 11
Ta4Mn3Re: relaxed, PBE.

Values from the calculation:
- ΔE_f: -0.2698 eV/atom
- Calculated total energy: -89.53 eV/cell

```
data_Ta4Mn3Re
_cell_length_a 3.1071
_cell_length_b 4.4044
_cell_length_c 8.7457
_cell_angle_alpha 90.00
_cell_angle_beta 90.00
_cell_angle_gamma 90.00
_space_group_name_H-M_alt 'P 1'
_space_group_IT_number 1
_space_group_name_Hall 'P 1'
loop_
_atom_site_label
_atom_site_type_symbol
_atom_site_fract_x
_atom_site_fract_y
_atom_site_fract_z
_atom_site_occupancy
Ta1 Ta 0.0000 0.0000 0.0000 1
Ta2 Ta 0.0000 0.0000 0.5000 1
Ta3 Ta 0.0000 0.5000 0.2425 1
Ta4 Ta 0.0000 0.5000 0.7575 1
Mn1 Mn 0.5000 0.0000 0.2460 1
Mn2 Mn 0.5000 0.0000 0.7540 1
Mn3 Mn 0.5000 0.5000 0.0000 1
Re1 Re 0.5000 0.5000 0.5000 1
```

---

No. 12
Ta4MnRe: relaxed, PBE.

Values from the calculation:
- ΔE_f: 0.3008 eV/atom
- Calculated total energy: -67.22 eV/cell

```
data_Ta4MnRe
_cell_length_a 4.3114
_cell_length_b 4.3114
_cell_length_c 6.1333
_cell_angle_alpha 90.00
_cell_angle_beta 90.00
_cell_angle_gamma 90.00
_space_group_name_H-M_alt 'P 1'
_space_group_IT_number 1
_space_group_name_Hall 'P 1'
loop_
_atom_site_label
_atom_site_type_symbol
_atom_site_fract_x
_atom_site_fract_y
_atom_site_fract_z
_atom_site_occupancy
Ta1 Ta 0.0000 0.5000 0.2406 1
Ta2 Ta 0.0000 0.5000 0.7594 1
Ta3 Ta 0.5000 0.0000 0.2406 1
Ta4 Ta 0.5000 0.0000 0.7594 1
Mn1 Mn 0.0000 0.0000 0.0000 1
Re1 Re 0.5000 0.5000 0.5000 1
```

---

No. 13
Ta2MnRe: relaxed, PBE.

Values from the calculation:
- ΔE_f: -0.3127 eV/atom
- Calculated total energy: -46.57 eV/cell

```
data_Ta2MnRe
_cell_length_a 3.1425
_cell_length_b 3.1425
_cell_length_c 6.2716
_cell_angle_alpha 90.00
_cell_angle_beta 90.00
_cell_angle_gamma 90.00
_space_group_name_H-M_alt 'P 1'
_space_group_IT_number 1
_space_group_name_Hall 'P 1'
loop_
_atom_site_label
_atom_site_type_symbol
_atom_site_fract_x
_atom_site_fract_y
_atom_site_fract_z
_atom_site_occupancy
Ta1 Ta 0.0000 0.0000 0.2425 1
Ta2 Ta 0.0000 0.0000 0.7575 1
Mn1 Mn 0.5000 0.5000 0.0000 1
Re1 Re 0.5000 0.5000 0.5000 1
```

---

No. 14
Ta4MnRe: relaxed, PBE.

Values from the calculation:
- ΔE_f: 0.4766 eV/atom
- Calculated total energy: -66.17 eV/cell

```
data_Ta4MnRe
_cell_length_a 5.3366
_cell_length_b 5.3366
_cell_length_c 5.3366
_cell_angle_alpha 60.00
_cell_angle_beta 60.00
_cell_angle_gamma 60.00
_space_group_name_H-M_alt 'P 1'
_space_group_IT_number 1
_space_group_name_Hall 'P 1'
loop_
_atom_site_label
_atom_site_type_symbol
_atom_site_fract_x
_atom_site_fract_y
_atom_site_fract_z
_atom_site_occupancy
Ta1 Ta 0.3757 0.3757 0.3757 1
Ta2 Ta 0.3757 0.3757 0.8729 1
Ta3 Ta 0.3757 0.8729 0.3757 1
Ta4 Ta 0.8729 0.3757 0.3757 1
Mn1 Mn 0.0000 0.0000 0.0000 1
Re1 Re 0.7500 0.7500 0.7500 1
```

---

No. 15
Ta5MnRe4: relaxed, PBE.

Values from the calculation:
- ΔE_f: -0.3742 eV/atom
- Calculated total energy: -121.97 eV/cell

```
data_Ta5MnRe4
_cell_length_a 3.1820
_cell_length_b 3.1820
_cell_length_c 15.8838
_cell_angle_alpha 90.00
_cell_angle_beta 90.00
_cell_angle_gamma 90.00
_space_group_name_H-M_alt 'P 1'
_space_group_IT_number 1
_space_group_name_Hall 'P 1'
loop_
_atom_site_label
_atom_site_type_symbol
_atom_site_fract_x
_atom_site_fract_y
_atom_site_fract_z
_atom_site_occupancy
Ta1 Ta 0.0000 0.0000 0.0000 1
Ta2 Ta 0.0000 0.0000 0.2027 1
Ta3 Ta 0.0000 0.0000 0.4047 1
Ta4 Ta 0.0000 0.0000 0.5953 1
Ta5 Ta 0.0000 0.0000 0.7973 1
Mn1 Mn 0.5000 0.5000 0.5000 1
Re1 Re 0.5000 0.5000 0.1013 1
Re2 Re 0.5000 0.5000 0.3042 1
Re3 Re 0.5000 0.5000 0.6958 1
Re4 Re 0.5000 0.5000 0.8987 1
```

---

No. 16
Ta2MnRe: relaxed, PBE.

Values from the calculation:
- ΔE_f: 0.1554 eV/atom
- Calculated total energy: -134.10 eV/cell

```
data_Ta2MnRe
_cell_length_a 3.0055
_cell_length_b 3.0055
_cell_length_c 24.4827
_cell_angle_alpha 90.00
_cell_angle_beta 90.00
_cell_angle_gamma 120.00
_space_group_name_H-M_alt 'P 1'
_space_group_IT_number 1
_space_group_name_Hall 'P 1'
loop_
_atom_site_label
_atom_site_type_symbol
_atom_site_fract_x
_atom_site_fract_y
_atom_site_fract_z
_atom_site_occupancy
Ta1 Ta 0.0000 0.0000 0.2458 1
Ta2 Ta 0.0000 0.0000 0.7542 1
Ta3 Ta 0.3333 0.6667 0.4209 1
Ta4 Ta 0.3333 0.6667 0.9125 1
Ta5 Ta 0.6667 0.3333 0.0875 1
Ta6 Ta 0.6667 0.3333 0.5791 1
Mn1 Mn 0.0000 0.0000 0.5000 1
Mn2 Mn 0.3333 0.6667 0.1667 1
Mn3 Mn 0.6667 0.3333 0.8333 1
Re1 Re 0.0000 0.0000 0.0000 1
Re2 Re 0.3333 0.6667 0.6667 1
Re3 Re 0.6667 0.3333 0.3333 1
```

---

No. 17
Ta2MnRe: relaxed, PBE.

Values from the calculation:
- ΔE_f: 0.7953 eV/atom
- Calculated total energy: -84.28 eV/cell

```
data_Ta2MnRe
_cell_length_a 2.7585
_cell_length_b 4.8516
_cell_length_c 10.2196
_cell_angle_alpha 90.00
_cell_angle_beta 90.00
_cell_angle_gamma 90.00
_space_group_name_H-M_alt 'P 1'
_space_group_IT_number 1
_space_group_name_Hall 'P 1'
loop_
_atom_site_label
_atom_site_type_symbol
_atom_site_fract_x
_atom_site_fract_y
_atom_site_fract_z
_atom_site_occupancy
Ta1 Ta 0.0000 0.0000 0.2438 1
Ta2 Ta 0.0000 0.0000 0.7562 1
Ta3 Ta 0.5000 0.5000 0.2562 1
Ta4 Ta 0.5000 0.5000 0.7438 1
Mn1 Mn 0.0000 0.0000 0.0000 1
Mn2 Mn 0.5000 0.5000 0.5000 1
Re1 Re 0.0000 0.0000 0.5000 1
Re2 Re 0.5000 0.5000 0.0000 1
```

---

No. 18
Ta6Mn5Re: relaxed, PBE.

Values from the calculation:
- ΔE_f: -0.2612 eV/atom
- Calculated total energy: -132.55 eV/cell

```
data_Ta6Mn5Re
_cell_length_a 7.5606
_cell_length_b 7.5606
_cell_length_c 7.5606
_cell_angle_alpha 146.34
_cell_angle_beta 131.73
_cell_angle_gamma 60.14
_space_group_name_H-M_alt 'P 1'
_space_group_IT_number 1
_space_group_name_Hall 'P 1'
loop_
_atom_site_label
_atom_site_type_symbol
_atom_site_fract_x
_atom_site_fract_y
_atom_site_fract_z
_atom_site_occupancy
Ta1 Ta 0.0783 0.3311 0.7472 1
Ta2 Ta 0.2446 0.0000 0.2446 1
Ta3 Ta 0.4162 0.6689 0.7472 1
Ta4 Ta 0.5838 0.3311 0.2528 1
Ta5 Ta 0.7554 0.0000 0.7554 1
Ta6 Ta 0.9217 0.6689 0.2528 1
Mn1 Mn 0.0000 0.5000 0.5000 1
Mn2 Mn 0.1669 0.1669 0.0000 1
Mn3 Mn 0.3324 0.8324 0.5000 1
Mn4 Mn 0.6676 0.1676 0.5000 1
Mn5 Mn 0.8331 0.8331 0.0000 1
Re1 Re 0.5000 0.5000 0.0000 1
```

---

No. 19
Ta2MnRe: relaxed, PBE.

Values from the calculation:
- ΔE_f: 0.6290 eV/atom
- Calculated total energy: -171.23 eV/cell

```
data_Ta2MnRe
_cell_length_a 7.0409
_cell_length_b 7.0409
_cell_length_c 5.4741
_cell_angle_alpha 90.00
_cell_angle_beta 90.00
_cell_angle_gamma 90.00
_space_group_name_H-M_alt 'P 1'
_space_group_IT_number 1
_space_group_name_Hall 'P 1'
loop_
_atom_site_label
_atom_site_type_symbol
_atom_site_fract_x
_atom_site_fract_y
_atom_site_fract_z
_atom_site_occupancy
Ta1 Ta 0.2426 0.2500 0.1250 1
Ta2 Ta 0.2500 0.7426 0.3750 1
Ta3 Ta 0.2500 0.7574 0.8750 1
Ta4 Ta 0.2574 0.2500 0.6250 1
Ta5 Ta 0.7426 0.7500 0.6250 1
Ta6 Ta 0.7500 0.2426 0.8750 1
Ta7 Ta 0.7500 0.2574 0.3750 1
Ta8 Ta 0.7574 0.7500 0.1250 1
Mn1 Mn 0.0000 0.0000 0.0000 1
Mn2 Mn 0.0000 0.5000 0.2500 1
Mn3 Mn 0.5000 0.0000 0.7500 1
Mn4 Mn 0.5000 0.5000 0.5000 1
Re1 Re 0.0000 0.0000 0.5000 1
Re2 Re 0.0000 0.5000 0.7500 1
Re3 Re 0.5000 0.0000 0.2500 1
Re4 Re 0.5000 0.5000 0.0000 1
```

---

No. 20
Ta3Mn2Re: relaxed, PBE.

Values from the calculation:
- ΔE_f: -0.2838 eV/atom
- Calculated total energy: -68.05 eV/cell

```
data_Ta3Mn2Re
_cell_length_a 3.1166
_cell_length_b 3.1166
_cell_length_c 9.3408
_cell_angle_alpha 90.00
_cell_angle_beta 90.00
_cell_angle_gamma 90.00
_space_group_name_H-M_alt 'P 1'
_space_group_IT_number 1
_space_group_name_Hall 'P 1'
loop_
_atom_site_label
_atom_site_type_symbol
_atom_site_fract_x
_atom_site_fract_y
_atom_site_fract_z
_atom_site_occupancy
Ta1 Ta 0.0000 0.0000 0.0000 1
Ta2 Ta 0.0000 0.0000 0.3256 1
Ta3 Ta 0.0000 0.0000 0.6744 1
Mn1 Mn 0.5000 0.5000 0.1625 1
Mn2 Mn 0.5000 0.5000 0.8375 1
Re1 Re 0.5000 0.5000 0.5000 1
```